(1)
Density functional theory data (GGA-PBE) for TcNiRu2 after structural relaxation.

Geometry as POSCAR:
```
TcNiRu2
1.0
-2.7121 2.7121 5.2515
2.7121 -2.7121 5.2515
2.7121 2.7121 -5.2515
Tc Ni Ru
2 2 4
Cartesian
0.0000 0.0000 0.0000
0.0000 2.7121 2.6258
2.7121 0.0000 2.6258
0.0000 0.0000 5.2515
1.3560 -1.2832 3.9386
1.4288 1.3560 1.3129
1.3560 3.9953 -1.3129
1.2832 1.3560 6.5644
```

Values from the calculation:
energy of formation from the pure elements: 4.69 eV per formula unit
DFT total energy: -7.501 eV/atom
DOS(E_F): 1.98 states/eV/f.u.

=====

(2)
Density functional theory data (GGA-PBE) for TcNiRu2 after structural relaxation.

Geometry as POSCAR:
```
TcNiRu2
1.0
2.6715 -3.7467 0.0000
2.6715 3.7467 0.0000
0.0000 0.0000 2.6948
Tc Ni Ru
1 1 2
Cartesian
0.0000 0.0000 0.0000
2.6715 0.0000 0.0000
1.3358 1.8733 1.3474
1.3358 -1.8733 1.3474
```

Values from the calculation:
energy of formation from the pure elements: 0.53 eV per formula unit
DFT total energy: -8.542 eV/atom
DOS(E_F): 4.94 states/eV/f.u.